[1]
A relaxed LiCrIr3 crystal, computed with PBE-GGA.

abc: 4.065 4.065 4.065
angles: 90.00 90.00 90.00
Space group Pm-3m (No. 221)
Inequivalent atoms, fractional coordinates:
Li  0.000  0.000  0.000 (multiplicity 1)
Cr  0.500  0.500  0.500 (multiplicity 1)
Ir  0.000  0.000  0.500 (multiplicity 3)

Summary:
The formation energy from the elements comes out at 87 kJ/mol of atoms. The total energy comes out at -6.7197 eV/atom. The calculation puts the density at 15.710 g/cm3.

[2]
A relaxed La2CuP3Rh4 crystal, computed with PBE-GGA.

abc: 4.162 4.162 9.929
angles: 90.00 90.00 90.00
Space group P-4m2 (No. 115)
Inequivalent atoms, fractional coordinates:
La  0.000  0.500  0.241 (multiplicity 2)
Cu  0.500  0.500  0.000 (multiplicity 1)
P  0.000  0.000  0.000 (multiplicity 1)
P  0.000  0.500  0.634 (multiplicity 2)
Rh  0.000  0.000  0.500 (multiplicity 1)
Rh  0.000  0.500  0.869 (multiplicity 2)
Rh  0.500  0.500  0.500 (multiplicity 1)

Summary:
The formation energy from the elements comes out at -95 kJ/mol of atoms. The total energy comes out at -6.9473 eV/atom. The calculation puts the density at 8.167 g/cm3.

[3]
A relaxed CdGa2HgAu crystal, computed with PBE-GGA.

abc: 4.996 4.996 5.381
angles: 90.00 90.00 90.00
Space group P4/mmm (No. 123)
Inequivalent atoms, fractional coordinates:
Cd  0.000  0.000  0.000 (multiplicity 1)
Ga  0.000  0.500  0.500 (multiplicity 2)
Hg  0.500  0.500  0.000 (multiplicity 1)
Au  0.000  0.000  0.500 (multiplicity 1)

Summary:
The formation energy from the elements comes out at 6 kJ/mol of atoms. The total energy comes out at -2.0439 eV/atom. The calculation puts the density at 8.029 g/cm3.

[4]
A relaxed SiSI2N crystal, computed with PBE-GGA.

abc: 6.296 6.296 3.317
angles: 90.00 90.00 90.00
Space group P4/mmm (No. 123)
Inequivalent atoms, fractional coordinates:
Si  0.000  0.000  0.000 (multiplicity 1)
S  0.500  0.500  0.500 (multiplicity 1)
I  0.000  0.500  0.500 (multiplicity 2)
N  0.500  0.500  0.000 (multiplicity 1)

Summary:
Its offset from the most stable computed form is 472 meV per atom. The uncorrected formation energy is 1.06 eV/atom. The total energy comes out at -3.1306 eV/atom. The calculation puts the density at 4.142 g/cm3.

[5]
A relaxed HoSc2ZnRh4 crystal, computed with PBE-GGA.

abc: 4.5464 4.5464 22.4536
angles: 90.00 90.00 120.00
Space group R-3m (No. 166, hexagonal axes)
Inequivalent atoms, fractional coordinates:
Ho  0.0000  0.0000  0.0000 (multiplicity 3)
Sc  0.0000  0.0000  0.2420 (multiplicity 6)
Zn  0.0000  0.0000  0.5000 (multiplicity 3)
Rh  0.0000  0.0000  0.1258 (multiplicity 6)
Rh  0.0000  0.0000  0.3791 (multiplicity 6)

Summary:
The formation energy from the elements comes out at -83 kJ/mol of atoms. The total energy comes out at -6.8511 eV/atom. The calculation puts the density at 9.071 g/cm3.

[6]
A relaxed Pm2DyCo2 crystal, computed with PBE-GGA.

abc: 7.286 7.286 4.295
angles: 90.00 90.00 90.00
Space group P4/mbm (No. 127)
Inequivalent atoms, fractional coordinates:
Pm  0.175  0.325  0.000 (multiplicity 4)
Dy  0.000  0.000  0.500 (multiplicity 2)
Co  0.109  0.609  0.500 (multiplicity 4)

Summary:
The formation energy from the elements comes out at -6 kJ/mol of atoms. Its offset from the most stable computed form is 13 meV per atom. The total energy comes out at -5.7269 eV/atom. The calculation puts the density at 8.308 g/cm3.

[7]
A relaxed PmHo2Sc4 crystal, computed with PBE-GGA.

abc: 6.271 11.410 6.507
angles: 90.00 118.74 90.00
Space group C2/m (No. 12)
Inequivalent atoms, fractional coordinates:
Pm  0.000  0.000  0.000 (multiplicity 2)
Ho  0.000  0.250  0.500 (multiplicity 4)
Sc  0.000  0.308  0.000 (multiplicity 4)
Sc  0.192  0.500  0.386 (multiplicity 4)

Summary:
The formation energy from the elements comes out at 22 kJ/mol of atoms. Its offset from the most stable computed form is 173 meV per atom. The total energy comes out at -5.3734 eV/atom. The calculation puts the density at 5.326 g/cm3.

[8]
A relaxed SrCo2P crystal, computed with PBE-GGA.

abc: 2.881 2.881 7.318
angles: 90.00 90.00 90.00
Space group P4/mmm (No. 123)
Inequivalent atoms, fractional coordinates:
Sr  0.000  0.000  0.000 (multiplicity 1)
Co  0.500  0.500  0.333 (multiplicity 2)
P  0.000  0.000  0.500 (multiplicity 1)

Summary:
The formation energy from the elements comes out at 18 kJ/mol of atoms. The total energy comes out at -5.1435 eV/atom. The calculation puts the density at 6.462 g/cm3.

[9]
A relaxed TiNbSnAu crystal, computed with PBE-GGA.

abc: 6.678 6.678 6.678
angles: 90.00 90.00 90.00
Space group F-43m (No. 216)
Inequivalent atoms, fractional coordinates:
Ti  0.000  0.000  0.000 (multiplicity 4)
Nb  0.000  0.000  0.500 (multiplicity 4)
Sn  0.250  0.250  0.250 (multiplicity 4)
Au  0.250  0.250  0.750 (multiplicity 4)

Summary:
The formation energy from the elements comes out at -10 kJ/mol of atoms. The total energy comes out at -6.4131 eV/atom. The calculation puts the density at 10.179 g/cm3.

[10]
A relaxed TbDy6Se8 crystal, computed with PBE-GGA.

abc: 11.489 11.489 11.489
angles: 90.00 90.00 90.00
Space group Fm-3m (No. 225)
Inequivalent atoms, fractional coordinates:
Tb  0.000  0.000  0.000 (multiplicity 4)
Dy  0.000  0.250  0.250 (multiplicity 24)
Se  0.000  0.000  0.254 (multiplicity 24)
Se  0.250  0.250  0.250 (multiplicity 8)

Summary:
The uncorrected formation energy is -1.83 eV/atom. The total energy comes out at -5.8412 eV/atom. The calculation puts the density at 7.733 g/cm3.

[11]
A relaxed MgGa2PdPb crystal, computed with PBE-GGA.

abc: 5.427 5.427 5.355
angles: 90.00 90.00 90.00
Space group P4/mmm (No. 123)
Inequivalent atoms, fractional coordinates:
Mg  0.000  0.000  0.000 (multiplicity 1)
Ga  0.000  0.500  0.500 (multiplicity 2)
Pd  0.500  0.500  0.000 (multiplicity 1)
Pb  0.000  0.000  0.500 (multiplicity 1)

Summary:
The formation energy from the elements comes out at 78 kJ/mol of atoms. Its offset from the most stable computed form is 815 meV per atom. The total energy comes out at -2.4981 eV/atom. The calculation puts the density at 5.025 g/cm3.

[12]
A relaxed RbB2Os crystal, computed with PBE-GGA.

abc: 6.198 6.198 6.198
angles: 90.00 90.00 90.00
Space group Fm-3m (No. 225)
Inequivalent atoms, fractional coordinates:
Rb  0.000  0.000  0.000 (multiplicity 4)
B  0.250  0.250  0.250 (multiplicity 8)
Os  0.000  0.000  0.500 (multiplicity 4)

Summary:
The formation energy from the elements comes out at 232 kJ/mol of atoms. Its offset from the most stable computed form is 2057 meV per atom. The total energy comes out at -3.9796 eV/atom. The calculation puts the density at 8.292 g/cm3.

[13]
A relaxed CuAsRh2 crystal, computed with PBE-GGA.

abc: 2.892 3.932 5.093
angles: 90.00 90.00 90.00
Space group Pmm2 (No. 25)
Inequivalent atoms, fractional coordinates:
Cu  0.000  0.000  0.000 (multiplicity 1)
As  0.500  0.500  0.659 (multiplicity 1)
Rh  0.000  0.000  0.493 (multiplicity 1)
Rh  0.500  0.500  0.151 (multiplicity 1)

Summary:
The formation energy from the elements comes out at -5 kJ/mol of atoms. The total energy comes out at -5.9164 eV/atom. The calculation puts the density at 9.871 g/cm3.

[14]
A relaxed Nd3IrSe2 crystal, computed with PBE-GGA.

abc: 8.610 12.056 25.152
angles: 90.00 90.00 90.00
Space group Fddd (No. 70, origin choice 2)
Inequivalent atoms, fractional coordinates:
Nd  0.105  0.375  0.375 (multiplicity 16)
Nd  0.115  0.366  0.213 (multiplicity 32)
Ir  0.125  0.125  0.041 (multiplicity 16)
Se  0.125  0.125  0.377 (multiplicity 16)
Se  0.125  0.125  0.545 (multiplicity 16)

Summary:
Its offset from the most stable computed form is 0 meV per atom. The uncorrected formation energy is -1.43 eV/atom. The total energy comes out at -6.4569 eV/atom. The calculation puts the density at 7.967 g/cm3.

[15]
A relaxed Nd2HoGa3Rh4 crystal, computed with PBE-GGA.

abc: 4.290 4.290 10.896
angles: 90.00 90.00 90.00
Space group P-4m2 (No. 115)
Inequivalent atoms, fractional coordinates:
Nd  0.000  0.500  0.222 (multiplicity 2)
Ho  0.000  0.000  0.500 (multiplicity 1)
Ga  0.000  0.500  0.883 (multiplicity 2)
Ga  0.500  0.500  0.500 (multiplicity 1)
Rh  0.000  0.000  0.000 (multiplicity 1)
Rh  0.000  0.500  0.652 (multiplicity 2)
Rh  0.500  0.500  0.000 (multiplicity 1)

Summary:
The formation energy from the elements comes out at -76 kJ/mol of atoms. The total energy comes out at -6.0489 eV/atom. The calculation puts the density at 8.896 g/cm3.

[16]
A relaxed NaNpMo2N6 crystal, computed with PBE-GGA.

abc: 11.307 10.102 6.272
angles: 90.00 112.03 90.00
Space group C2/c (No. 15)
Inequivalent atoms, fractional coordinates:
Na  0.000  0.094  0.250 (multiplicity 4)
Np  0.000  0.271  0.750 (multiplicity 4)
Mo  0.204  0.422  0.167 (multiplicity 8)
N  0.102  0.275  0.113 (multiplicity 8)
N  0.127  0.119  0.701 (multiplicity 8)
N  0.149  0.450  0.842 (multiplicity 8)

Summary:
The uncorrected formation energy is -0.39 eV/atom. The total energy comes out at -8.9751 eV/atom. The calculation puts the density at 5.361 g/cm3.

[17]
A relaxed RbCaNd2Se4 crystal, computed with PBE-GGA.

abc: 8.617 8.851 12.350
angles: 90.00 90.00 90.00
Space group Imma (No. 74)
Inequivalent atoms, fractional coordinates:
Rb  0.250  0.250  0.250 (multiplicity 4)
Ca  0.000  0.000  0.000 (multiplicity 4)
Nd  0.000  0.000  0.500 (multiplicity 4)
Nd  0.250  0.250  0.750 (multiplicity 4)
Se  0.000  0.022  0.748 (multiplicity 8)
Se  0.250  0.250  0.510 (multiplicity 8)

Summary:
The uncorrected formation energy is -1.75 eV/atom. The total energy comes out at -5.0540 eV/atom. The calculation puts the density at 5.147 g/cm3.

[18]
A relaxed Al2ZnAu8 crystal, computed with PBE-GGA.

abc: 17.133 3.700 6.570
angles: 90.00 108.57 90.00
Space group C2/m (No. 12)
Inequivalent atoms, fractional coordinates:
Al  0.188  0.000  0.217 (multiplicity 4)
Zn  0.000  0.500  0.500 (multiplicity 2)
Au  0.037  0.000  0.243 (multiplicity 4)
Au  0.092  0.500  0.935 (multiplicity 4)
Au  0.163  0.500  0.482 (multiplicity 4)
Au  0.202  0.000  0.828 (multiplicity 4)

Summary:
The formation energy from the elements comes out at -19 kJ/mol of atoms. Its offset from the most stable computed form is 29 meV per atom. The total energy comes out at -3.3720 eV/atom. The calculation puts the density at 14.259 g/cm3.

[19]
A relaxed Ho4Ga12Ru crystal, computed with PBE-GGA.

abc: 8.598 8.598 8.598
angles: 90.00 90.00 90.00
Space group Im-3m (No. 229)
Inequivalent atoms, fractional coordinates:
Ho  0.250  0.250  0.250 (multiplicity 8)
Ga  0.000  0.000  0.290 (multiplicity 12)
Ga  0.000  0.250  0.500 (multiplicity 12)
Ru  0.000  0.000  0.000 (multiplicity 2)

Summary:
The formation energy from the elements comes out at -55 kJ/mol of atoms. The total energy comes out at -4.3248 eV/atom. The calculation puts the density at 8.346 g/cm3.

[20]
A relaxed KNi2SnAs crystal, computed with PBE-GGA.

abc: 4.546 4.546 5.619
angles: 90.00 90.00 90.00
Space group P4/mmm (No. 123)
Inequivalent atoms, fractional coordinates:
K  0.000  0.000  0.000 (multiplicity 1)
Ni  0.000  0.500  0.000 (multiplicity 2)
Sn  0.500  0.500  0.500 (multiplicity 1)
As  0.000  0.000  0.500 (multiplicity 1)

Summary:
The formation energy from the elements comes out at 156 kJ/mol of atoms. The total energy comes out at -2.6409 eV/atom. The calculation puts the density at 5.006 g/cm3.

[21]
A relaxed CeSmYTh crystal, computed with PBE-GGA.

abc: 3.5673 3.5673 34.5604
angles: 90.00 90.00 120.00
Space group R3m (No. 160, hexagonal axes)
Inequivalent atoms, fractional coordinates:
Ce  0.0000  0.0000  0.0000 (multiplicity 3)
Sm  0.0000  0.0000  0.8305 (multiplicity 3)
Y  0.0000  0.0000  0.5837 (multiplicity 3)
Th  0.0000  0.0000  0.4133 (multiplicity 3)

Summary:
The formation energy from the elements comes out at 4 kJ/mol of atoms. Its offset from the most stable computed form is 0 meV per atom. The total energy comes out at -6.0970 eV/atom. The calculation puts the density at 7.997 g/cm3.

[22]
A relaxed Hf5Zr2Tc2Pd crystal, computed with PBE-GGA.

abc: 11.158 11.158 3.317
angles: 90.00 90.00 90.00
Space group P4/mbm (No. 127)
Inequivalent atoms, fractional coordinates:
Hf  0.000  0.500  0.000 (multiplicity 2)
Hf  0.046  0.202  0.000 (multiplicity 8)
Zr  0.185  0.685  0.500 (multiplicity 4)
Tc  0.139  0.361  0.500 (multiplicity 4)
Pd  0.000  0.000  0.500 (multiplicity 2)

Summary:
The formation energy from the elements comes out at -22 kJ/mol of atoms. The total energy comes out at -9.5112 eV/atom. The calculation puts the density at 11.076 g/cm3.